P2IO2: optimized geometry, GGA-PBE.

Cell and atoms, written as POSCAR:
```
P2IO2
1.0
-0.611 3.296 1.468
-3.444 -0.977 0.759
1.524 -1.778 4.626
I P O
1 2 2
direct
0.500 0.500 0.500
0.000 0.000 0.000
0.000 0.000 0.500
0.000 0.500 0.000
0.500 0.000 0.000
```

Output
- Uncorrected formation energy: -137 meV/atom
- Spin magnetization: 0.00 Bohr magnetons per cell
- Symmetry: P4/mmm
- Energy relative to the lowest polymorph listed for this composition: 0 meV/atom